# 1
The following is a DFT calculation (PBE) of a relaxed BaCN crystal.

Unit cell a=4.2795 b=4.2795 c=4.5927 alpha=117.77 beta=117.77 gamma=90.00
Closest atoms and distances in Å follow each position.
Fractional positions:
1 N 0.5384 0.5384 0.0769  1 C 1.22
2 Ba 0.9502 0.9502 0.9003  5 C 2.84-3.09, 5 N 2.84-3.09
3 C 0.3614 0.3614 0.7228  1 N 1.22

Calculated values
Magnetic moment (μB per formula unit): 0.000
Polymorph energy (0 for the lowest one) (meV per atom): 0
Raw formation energy (eV/atom): -0.4220
Total energy (eV/atom): -6.913


# 2
The following is a DFT calculation (PBE) of a relaxed Ba2CN crystal.

Unit cell a=4.9982 b=4.9982 c=4.9982 alpha=60.00 beta=60.00 gamma=60.00
Closest atoms and distances in Å follow each position.
Fractional positions:
1 Ba 0.7500 0.7500 0.7500  4 N 3.06, 4 C 3.06
2 Ba 0.2500 0.2500 0.2500  4 C 3.06, 4 N 3.06
3 N 0.5000 0.5000 0.5000  8 Ba 3.06
4 C 0.0000 0.0000 0.0000  8 Ba 3.06

Calculated values
Magnetic moment (μB per formula unit): 3.000
Polymorph energy (0 for the lowest one) (meV per atom): 95
Raw formation energy (eV/atom): 0.8744
Total energy (eV/atom): -4.474


# 3
The following is a DFT calculation (PBE) of a relaxed BaNaCN2 crystal.

Unit cell a=4.5520 b=6.2044 c=7.9770 alpha=101.12 beta=90.00 gamma=90.00
Closest atoms and distances in Å follow each position.
Fractional positions:
1 C 0.0000 0.0000 0.0000  2 N 1.24
2 C 0.0000 0.0000 0.5000  2 N 1.24
3 Na 0.5017 0.0000 0.7500  4 N 2.85, 4 C 3.02-3.03
4 Ba 0.9975 0.5000 0.2500  4 N 2.78-2.85
5 Na 0.4983 0.0000 0.2500  4 N 2.85, 4 C 3.02-3.03
6 N 0.9986 0.8258 0.0556  1 C 1.24
7 N 0.9986 0.1742 0.4444  1 C 1.24
8 Ba 0.0025 0.5000 0.7500  4 N 2.78-2.85
9 N 0.0014 0.8258 0.5556  1 C 1.24
10 N 0.0014 0.1742 0.9444  1 C 1.24

Calculated values
Magnetic moment (μB per formula unit): 0.000
Raw formation energy (eV/atom): -0.4163
Total energy (eV/atom): -6.240


# 4
The following is a DFT calculation (PBE) of a relaxed Ba3Na2C4N8 crystal.

Unit cell a=6.4178 b=10.1382 c=16.8163 alpha=90.00 beta=89.57 gamma=90.00
Closest atoms and distances in Å follow each position.
Fractional positions:
1 C 0.7425 0.7220 0.2999  2 N 1.24
2 N 0.3348 0.2265 0.3375  1 C 1.24
3 Ba 0.2607 0.1800 0.1535  5 N 2.72-3.02, 1 C 3.01
4 C 0.2516 0.3266 0.3090  2 N 1.24
5 C 0.7516 0.1734 0.8090  2 N 1.24
6 N 0.6749 0.0808 0.5682  1 C 1.25
7 N 0.3253 0.6748 0.8242  1 C 1.24
8 Ba 0.2393 0.6800 0.3465  5 N 2.72-3.02, 1 C 3.01
9 N 0.8315 0.5765 0.7230  1 C 1.24
10 N 0.8348 0.2735 0.8375  1 C 1.24
11 C 0.2425 0.7780 0.7999  2 N 1.24
12 N 0.6685 0.0765 0.7770  1 C 1.24
13 C 0.2484 0.8266 0.1910  2 N 1.24
14 C 0.5000 0.5000 0.5000  2 N 1.24
15 Ba 0.7382 0.8094 0.4937  4 N 2.71-2.90, 1 C 3.00
16 C 0.2575 0.2780 0.7001  2 N 1.24
17 N 0.3251 0.9192 0.4318  1 C 1.25
18 N 0.8251 0.5808 0.9318  1 C 1.25
19 Ba 0.7497 0.3733 0.3570  7 N 2.87-3.13, 3 C 3.05-3.17
20 C 0.5000 0.0000 0.0000  2 N 1.24
21 N 0.6595 0.6210 0.2730  1 C 1.24
22 N 0.5523 0.0778 0.0530  1 C 1.24
23 N 0.6630 0.6219 0.0641  1 C 1.24
24 N 0.8370 0.1219 0.4359  1 C 1.24
25 N 0.3405 0.3790 0.7270  1 C 1.24
26 Na 0.0551 0.0208 0.3311  5 N 2.46-2.72
27 N 0.9472 0.8840 0.9888  1 C 1.24
28 Ba 0.7618 0.3094 0.0063  4 N 2.71-2.90, 1 C 3.00
29 Na 0.9449 0.9792 0.6689  5 N 2.46-2.72
30 C 0.2440 0.8957 0.4978  2 N 1.24-1.25
31 C 0.7440 0.6043 0.9978  2 N 1.24-1.25
32 Na 0.0590 0.4771 0.8299  6 N 2.50-2.72
33 N 0.1595 0.8790 0.7730  1 C 1.24
34 Ba 0.2618 0.1906 0.5063  4 N 2.71-2.90, 1 C 3.00
35 C 0.0000 0.0000 0.0000  2 N 1.24
36 Na 0.5590 0.0229 0.3299  6 N 2.50-2.72
37 Ba 0.2503 0.6267 0.6430  7 N 2.87-3.13, 3 C 3.05-3.17
38 Ba 0.2497 0.1267 0.8570  7 N 2.87-3.13, 3 C 3.05-3.17
39 N 0.6652 0.7735 0.6625  1 C 1.24
40 N 0.4477 0.9222 0.9470  1 C 1.24
41 N 0.8405 0.1210 0.2270  1 C 1.24
42 N 0.3315 0.9235 0.2230  1 C 1.24
43 N 0.1652 0.7265 0.1625  1 C 1.24
44 Ba 0.7503 0.8733 0.1430  7 N 2.87-3.13, 3 C 3.05-3.17
45 N 0.1749 0.4192 0.0682  1 C 1.25
46 N 0.0523 0.4222 0.5530  1 C 1.24
47 N 0.3370 0.3781 0.9359  1 C 1.24
48 Na 0.4449 0.5208 0.1689  5 N 2.46-2.72
49 N 0.1747 0.1748 0.6758  1 C 1.24
50 C 0.7560 0.1043 0.5022  2 N 1.24-1.25
51 N 0.9477 0.5778 0.4470  1 C 1.24
52 N 0.6747 0.3252 0.1758  1 C 1.24
53 Na 0.5551 0.4792 0.8311  5 N 2.46-2.72
54 C 0.2560 0.3957 0.0022  2 N 1.24-1.25
55 N 0.8253 0.8252 0.3242  1 C 1.24
56 N 0.5528 0.3840 0.5112  1 C 1.24
57 N 0.1685 0.4235 0.2770  1 C 1.24
58 Ba 0.2382 0.6906 0.9937  4 N 2.71-2.90, 1 C 3.00
59 Na 0.9410 0.5229 0.1701  6 N 2.50-2.72
60 Na 0.4410 0.9771 0.6701  6 N 2.50-2.72
61 Ba 0.7393 0.8200 0.8465  5 N 2.72-3.02, 1 C 3.01
62 Ba 0.7607 0.3200 0.6535  5 N 2.72-3.02, 1 C 3.01
63 C 0.7575 0.2220 0.2001  2 N 1.24
64 C 0.7484 0.6734 0.6910  2 N 1.24
65 N 0.1630 0.8781 0.5641  1 C 1.24
66 N 0.0528 0.1160 0.0112  1 C 1.24
67 C 0.0000 0.5000 0.5000  2 N 1.24
68 N 0.4472 0.6160 0.4888  1 C 1.24

Calculated values
Magnetic moment (μB per formula unit): 0.000
Raw formation energy (eV/atom): -0.6970
Total energy (eV/atom): -7.280


# 5
The following is a DFT calculation (PBE) of a relaxed Ba3NaC2N6 crystal.

Unit cell a=5.9388 b=5.9388 c=6.9766 alpha=90.00 beta=90.00 gamma=120.00
Closest atoms and distances in Å follow each position.
Fractional positions:
1 C 0.3333 0.6667 0.2634  3 N 1.35
2 Na 0.0000 0.0000 0.5000  6 N 2.62
3 N 0.7976 0.2024 0.7270  1 C 1.35
4 N 0.2024 0.4048 0.2730  1 C 1.35
5 C 0.6667 0.3333 0.7366  3 N 1.35
6 Ba 0.3333 0.6667 0.6618  1 C 2.78, 9 N 3.03
7 N 0.5952 0.7976 0.2730  1 C 1.35
8 N 0.7976 0.5952 0.7270  1 C 1.35
9 Ba 0.0000 0.0000 0.0000  6 N 2.82
10 Ba 0.6667 0.3333 0.3382  1 C 2.78, 9 N 3.03
11 N 0.4048 0.2024 0.7270  1 C 1.35
12 N 0.2024 0.7976 0.2730  1 C 1.35

Calculated values
Magnetic moment (μB per formula unit): 1.024
Raw formation energy (eV/atom): -0.3073
Total energy (eV/atom): -6.598


# 6
The following is a DFT calculation (PBE) of a relaxed Ba2NbCN crystal.

Unit cell a=5.6856 b=4.2049 c=5.6856 alpha=90.00 beta=90.00 gamma=90.00
Closest atoms and distances in Å follow each position.
Fractional positions:
1 Nb 0.0000 0.5000 0.0000  2 C 2.10
2 C 0.0000 0.0000 0.0000  2 Nb 2.10
3 Ba 0.5000 0.0000 0.0000  2 C 2.84
4 N 0.5000 0.5000 0.5000  8 Ba 3.54
5 Ba 0.0000 0.0000 0.5000  2 C 2.84

Calculated values
Magnetic moment (μB per formula unit): 1.930
Raw formation energy (eV/atom): 0.9578
Total energy (eV/atom): -5.335


# 7
The following is a DFT calculation (PBE) of a relaxed Ba3NiC2N6 crystal.

Unit cell a=5.6779 b=5.6779 c=6.8603 alpha=90.00 beta=90.00 gamma=120.00
Closest atoms and distances in Å follow each position.
Fractional positions:
1 Ba 0.3333 0.6667 0.6863  1 C 2.71, 9 N 2.86-3.04
2 N 0.1941 0.3882 0.2914  1 C 1.37
3 N 0.8059 0.6118 0.7086  1 C 1.37
4 Ba 0.0000 0.0000 0.0000  6 N 2.76
5 N 0.6118 0.8059 0.2914  1 C 1.37
6 C 0.6667 0.3333 0.7093  3 N 1.37
7 N 0.1941 0.8059 0.2914  1 C 1.37
8 C 0.3333 0.6667 0.2907  3 N 1.37
9 N 0.8059 0.1941 0.7086  1 C 1.37
10 N 0.3882 0.1941 0.7086  1 C 1.37
11 Ni 0.0000 0.0000 0.5000  6 N 2.39
12 Ba 0.6667 0.3333 0.3137  1 C 2.71, 9 N 2.86-3.04

Calculated values
Magnetic moment (μB per formula unit): 3.622
Raw formation energy (eV/atom): -0.0797
Total energy (eV/atom): -6.742


# 8
The following is a DFT calculation (PBE) of a relaxed Ba3NpC2N6 crystal.

Unit cell a=5.7673 b=5.7673 c=6.9578 alpha=90.00 beta=90.00 gamma=120.00
Closest atoms and distances in Å follow each position.
Fractional positions:
1 N 0.8058 0.6116 0.6960  1 C 1.39
2 N 0.3884 0.1942 0.6960  1 C 1.39
3 N 0.8058 0.1942 0.6960  1 C 1.39
4 C 0.3333 0.6667 0.2940  3 N 1.39
5 Ba 0.6667 0.3333 0.3051  1 C 2.79, 9 N 2.90-3.05
6 Np 0.0000 0.0000 0.5000  6 N 2.37
7 Ba 0.0000 0.0000 0.0000  6 N 2.87
8 Ba 0.3333 0.6667 0.6949  1 C 2.79, 9 N 2.90-3.05
9 N 0.6116 0.8058 0.3040  1 C 1.39
10 N 0.1942 0.8058 0.3040  1 C 1.39
11 C 0.6667 0.3333 0.7060  3 N 1.39
12 N 0.1942 0.3884 0.3040  1 C 1.39

Calculated values
Magnetic moment (μB per formula unit): 2.963
Raw formation energy (eV/atom): -0.5855
Total energy (eV/atom): -7.845


# 9
The following is a DFT calculation (PBE) of a relaxed Ba2CNO crystal.

Unit cell a=5.3170 b=3.5325 c=5.3170 alpha=90.00 beta=90.00 gamma=90.00
Closest atoms and distances in Å follow each position.
Fractional positions:
1 C 0.0000 0.0000 0.0000  2 O 1.77
2 Ba 0.0000 0.0000 0.5000  2 C 2.66
3 Ba 0.5000 0.0000 0.0000  2 C 2.66
4 N 0.5000 0.5000 0.5000  8 Ba 3.19, 2 N 3.53
5 O 0.0000 0.5000 0.0000  2 C 1.77

Calculated values
Magnetic moment (μB per formula unit): 0.568
Raw formation energy (eV/atom): 0.4968
Total energy (eV/atom): -4.774


# 10
The following is a DFT calculation (PBE) of a relaxed Ba2PaC2N6 crystal.

Unit cell a=5.5679 b=5.5692 c=6.8791 alpha=113.88 beta=90.00 gamma=119.99
Closest atoms and distances in Å follow each position.
Fractional positions:
1 N 0.7645 0.5290 0.7186  1 C 1.37
2 Pa 0.5000 0.0000 0.5000  6 N 2.28
3 C 0.0930 0.1859 0.2793  3 N 1.37
4 N 0.8097 0.0451 0.2808  1 C 1.37
5 N 0.1903 0.9549 0.7192  1 C 1.37
6 N 0.2355 0.4710 0.2814  1 C 1.37
7 N 0.7646 0.9549 0.7192  1 C 1.37
8 Ba 0.7175 0.4351 0.1530  9 N 2.90-3.22
9 C 0.9070 0.8141 0.7207  3 N 1.37
10 N 0.2354 0.0451 0.2808  1 C 1.37
11 Ba 0.2825 0.5649 0.8470  9 N 2.90-3.22

Calculated values
Magnetic moment (μB per formula unit): 0.000
Raw formation energy (eV/atom): -0.7321
Total energy (eV/atom): -8.163


# 11
The following is a DFT calculation (PBE) of a relaxed Ba3PmC2N6 crystal.

Unit cell a=5.8460 b=5.8460 c=7.0563 alpha=90.00 beta=90.00 gamma=120.00
Closest atoms and distances in Å follow each position.
Fractional positions:
1 N 0.3950 0.1975 0.7091  1 C 1.38
2 Ba 0.6667 0.3333 0.3204  1 C 2.81, 9 N 2.95-3.07
3 C 0.3333 0.6667 0.2816  3 N 1.38
4 N 0.6050 0.8025 0.2909  1 C 1.38
5 N 0.1975 0.8025 0.2909  1 C 1.38
6 N 0.1975 0.3950 0.2909  1 C 1.38
7 Pm 0.0000 0.0000 0.5000  6 N 2.49
8 N 0.8025 0.1975 0.7091  1 C 1.38
9 C 0.6667 0.3333 0.7184  3 N 1.38
10 N 0.8025 0.6050 0.7091  1 C 1.38
11 Ba 0.0000 0.0000 0.0000  6 N 2.87
12 Ba 0.3333 0.6667 0.6796  1 C 2.81, 9 N 2.95-3.07

Calculated values
Magnetic moment (μB per formula unit): 0.000
Raw formation energy (eV/atom): -0.6308
Total energy (eV/atom): -7.207


# 12
The following is a DFT calculation (PBE) of a relaxed BaPmC3N6 crystal.

Unit cell a=6.5595 b=6.5595 c=6.5595 alpha=73.85 beta=106.15 gamma=73.85
Closest atoms and distances in Å follow each position.
Fractional positions:
1 Ba 0.5519 0.4481 0.5519  6 N 2.86
2 N 0.9366 0.0535 0.6375  1 C 1.23
3 N 0.4663 0.8433 0.1676  1 C 1.23
4 N 0.1676 0.5337 0.1567  1 C 1.23
5 C 0.0572 0.4481 0.0464  2 N 1.23
6 N 0.6375 0.0634 0.9465  1 C 1.23
7 N 0.1567 0.8324 0.4663  1 C 1.23
8 N 0.9465 0.3625 0.9366  1 C 1.23
9 C 0.5519 0.9536 0.0572  2 N 1.23
10 C 0.0464 0.9428 0.5519  2 N 1.23
11 Pm 0.0519 0.9481 0.0519  6 N 2.44

Calculated values
Magnetic moment (μB per formula unit): 1.051
Raw formation energy (eV/atom): -0.4743
Total energy (eV/atom): -8.138